Record 1
# Ac6In3Pt PBE relaxed
data_Ac6In3Pt
_cell_length_a 7.142
_cell_length_b 9.509
_cell_length_c 13.041
_cell_angle_alpha 90.00
_cell_angle_beta 119.24
_cell_angle_gamma 90.00
_space_group_name_H-M_alt 'P 1 21/c 1'
_space_group_IT_number 14
loop_
_space_group_symop_operation_xyz
'x,y,z'
'-x,-y,-z'
'-x,y+1/2,-z+1/2'
'x,-y+1/2,z+1/2'
loop_
_atom_site_label
_atom_site_type_symbol
_atom_site_fract_x
_atom_site_fract_y
_atom_site_fract_z
_atom_site_occupancy
Ac1 Ac 0.085 0.160 0.442 1
Ac2 Ac 0.318 0.694 0.433 1
Ac3 Ac 0.413 0.059 0.262 1
In1 In 0.000 0.000 0.000 1
In2 In 0.176 0.112 0.763 1
Pt1 Pt 0.500 0.000 0.500 1
# - crystal system = monoclinic
# - total DFT energy (no corrections) (eV per atom) = -4.2974
# - total magnetic moment (Bohr magnetons per cell) = 0.000



Record 2
# Pr2Nd3Sm PBE relaxed
data_Pr2Nd3Sm
_cell_length_a 9.224
_cell_length_b 10.113
_cell_length_c 9.222
_cell_angle_alpha 90.00
_cell_angle_beta 101.33
_cell_angle_gamma 90.00
_space_group_name_H-M_alt 'C 1 2/c 1'
_space_group_IT_number 15
loop_
_space_group_symop_operation_xyz
'x,y,z'
'-x,-y,-z'
'-x,y,-z+1/2'
'x,-y,z+1/2'
'x+1/2,y+1/2,z'
'-x+1/2,-y+1/2,-z'
'-x+1/2,y+1/2,-z+1/2'
'x+1/2,-y+1/2,z+1/2'
loop_
_atom_site_label
_atom_site_type_symbol
_atom_site_fract_x
_atom_site_fract_y
_atom_site_fract_z
_atom_site_occupancy
Pr1 Pr 0.125 0.249 0.125 1
Nd1 Nd 0.000 0.416 0.750 1
Nd2 Nd 0.249 0.417 0.500 1
Sm1 Sm 0.000 0.083 0.750 1
# - crystal system = monoclinic
# - E above lowest polymorph (eV/f.u.) = 0.000
# - total magnetic moment (Bohr magnetons per cell) = 0.000



Record 3
# SmHoMgBe PBE relaxed
data_SmHoMgBe
_cell_length_a 7.245
_cell_length_b 7.245
_cell_length_c 7.245
_cell_angle_alpha 90.00
_cell_angle_beta 90.00
_cell_angle_gamma 90.00
_space_group_name_H-M_alt 'F -4 3 m'
_space_group_IT_number 216
_space_group_name_Hall 'F -4 2 3'
loop_
_atom_site_label
_atom_site_type_symbol
_atom_site_fract_x
_atom_site_fract_y
_atom_site_fract_z
_atom_site_occupancy
Sm1 Sm 0.000 0.000 0.000 1
Ho1 Ho 0.000 0.000 0.500 1
Mg1 Mg 0.250 0.250 0.750 1
Be1 Be 0.250 0.250 0.250 1
# - crystal system = cubic
# - total DFT energy (no corrections) (eV per atom) = -3.5558
# - total magnetic moment (Bohr magnetons per cell) = 0.002



Record 4
# ThMg2Zn2Rh PBE relaxed
data_ThMg2Zn2Rh
_cell_length_a 3.985
_cell_length_b 3.985
_cell_length_c 18.000
_cell_angle_alpha 90.00
_cell_angle_beta 90.00
_cell_angle_gamma 90.00
_space_group_name_H-M_alt 'I 4/m m m'
_space_group_IT_number 139
_space_group_name_Hall '-I 4 2'
loop_
_atom_site_label
_atom_site_type_symbol
_atom_site_fract_x
_atom_site_fract_y
_atom_site_fract_z
_atom_site_occupancy
Th1 Th 0.000 0.000 0.000 1
Mg1 Mg 0.000 0.500 0.250 1
Zn1 Zn 0.000 0.000 0.363 1
Rh1 Rh 0.000 0.000 0.500 1
# - crystal system = tetragonal
# - total DFT energy (no corrections) (eV per atom) = -3.5461
# - total magnetic moment (Bohr magnetons per cell) = 0.000



Record 5
# NdGdSb PBE relaxed
data_NdGdSb
_cell_length_a 5.1201
_cell_length_b 5.1201
_cell_length_c 4.1494
_cell_angle_alpha 90.00
_cell_angle_beta 90.00
_cell_angle_gamma 120.00
_space_group_name_H-M_alt 'P 3 m 1'
_space_group_IT_number 156
loop_
_space_group_symop_operation_xyz
'x,y,z'
'-y,x-y,z'
'-x+y,-x,z'
'-y,-x,z'
'-x+y,y,z'
'x,x-y,z'
loop_
_atom_site_label
_atom_site_type_symbol
_atom_site_fract_x
_atom_site_fract_y
_atom_site_fract_z
_atom_site_occupancy
Nd1 Nd 0.0000 0.0000 0.0000 1
Gd1 Gd 0.3333 0.6667 0.5306 1
Sb1 Sb 0.6667 0.3333 0.3360 1
# - crystal system = trigonal
# - E above lowest polymorph (eV/f.u.) = 0.655
# - raw formation energy (kJ per mole of atoms) = -45.6
# - total magnetic moment (Bohr magnetons per cell) = 7.415



Record 6
# AlTeIrAu2 PBE relaxed
data_AlTeIrAu2
_cell_length_a 5.134
_cell_length_b 5.134
_cell_length_c 4.619
_cell_angle_alpha 90.00
_cell_angle_beta 90.00
_cell_angle_gamma 90.00
_space_group_name_H-M_alt 'P 4/m m m'
_space_group_IT_number 123
_space_group_name_Hall '-P 4 2'
loop_
_atom_site_label
_atom_site_type_symbol
_atom_site_fract_x
_atom_site_fract_y
_atom_site_fract_z
_atom_site_occupancy
Al1 Al 0.000 0.000 0.000 1
Te1 Te 0.500 0.500 0.000 1
Ir1 Ir 0.000 0.000 0.500 1
Au1 Au 0.000 0.500 0.500 1
# - crystal system = tetragonal
# - raw formation energy (kJ per mole of atoms) = 55.2
# - total magnetic moment (Bohr magnetons per cell) = 0.000



Record 7
# Dy12Co6Au PBE relaxed
data_Dy12Co6Au
_cell_length_a 9.579
_cell_length_b 9.579
_cell_length_c 9.579
_cell_angle_alpha 90.00
_cell_angle_beta 90.00
_cell_angle_gamma 90.00
_space_group_name_H-M_alt 'I m -3'
_space_group_IT_number 204
_space_group_name_Hall '-I 2 2 3'
loop_
_atom_site_label
_atom_site_type_symbol
_atom_site_fract_x
_atom_site_fract_y
_atom_site_fract_z
_atom_site_occupancy
Dy1 Dy 0.000 0.194 0.301 1
Co1 Co 0.000 0.386 0.500 1
Au1 Au 0.000 0.000 0.000 1
# - crystal system = cubic
# - total DFT energy (no corrections) (eV per atom) = -5.5846
# - total magnetic moment (Bohr magnetons per cell) = 0.000



Record 8
# Pm2Pr3Sm6Ho PBE relaxed
data_Pm2Pr3Sm6Ho
_cell_length_a 6.317
_cell_length_b 10.939
_cell_length_c 12.091
_cell_angle_alpha 90.00
_cell_angle_beta 100.06
_cell_angle_gamma 90.00
_space_group_name_H-M_alt 'C 1 2/m 1'
_space_group_IT_number 12
loop_
_space_group_symop_operation_xyz
'x,y,z'
'-x,-y,-z'
'-x,y,-z'
'x,-y,z'
'x+1/2,y+1/2,z'
'-x+1/2,-y+1/2,-z'
'-x+1/2,y+1/2,-z'
'x+1/2,-y+1/2,z'
loop_
_atom_site_label
_atom_site_type_symbol
_atom_site_fract_x
_atom_site_fract_y
_atom_site_fract_z
_atom_site_occupancy
Pm1 Pm 0.000 0.167 0.000 1
Pr1 Pr 0.000 0.000 0.500 1
Pr2 Pr 0.000 0.333 0.500 1
Sm1 Sm 0.249 0.334 0.247 1
Sm2 Sm 0.250 0.000 0.247 1
Ho1 Ho 0.000 0.500 0.000 1
# - crystal system = monoclinic
# - total DFT energy (no corrections) (eV per atom) = -4.7129
# - total magnetic moment (Bohr magnetons per cell) = 0.000



Record 9
# TaBe2Ir PBE relaxed
data_TaBe2Ir
_cell_length_a 2.7821
_cell_length_b 2.7821
_cell_length_c 23.7343
_cell_angle_alpha 90.00
_cell_angle_beta 90.00
_cell_angle_gamma 120.00
_space_group_name_H-M_alt 'R -3 m'
_space_group_IT_number 166
_space_group_name_Hall '-R 3 2"'
loop_
_atom_site_label
_atom_site_type_symbol
_atom_site_fract_x
_atom_site_fract_y
_atom_site_fract_z
_atom_site_occupancy
Ta1 Ta 0.0000 0.0000 0.0000 1
Be1 Be 0.0000 0.0000 0.2400 1
Ir1 Ir 0.0000 0.0000 0.5000 1
# - crystal system = trigonal
# - total DFT energy (no corrections) (eV per atom) = -6.9846
# - total magnetic moment (Bohr magnetons per cell) = 0.001



Record 10
# Ba2MgZnAu6 PBE relaxed
data_Ba2MgZnAu6
_cell_length_a 7.029
_cell_length_b 7.040
_cell_length_c 7.240
_cell_angle_alpha 61.53
_cell_angle_beta 61.39
_cell_angle_gamma 60.30
_space_group_name_H-M_alt 'P -1'
_space_group_IT_number 2
loop_
_space_group_symop_operation_xyz
'x,y,z'
'-x,-y,-z'
loop_
_atom_site_label
_atom_site_type_symbol
_atom_site_fract_x
_atom_site_fract_y
_atom_site_fract_z
_atom_site_occupancy
Ba1 Ba 0.217 0.218 0.347 1
Mg1 Mg 0.500 0.500 0.500 1
Zn1 Zn 0.000 0.000 0.000 1
Au1 Au 0.246 0.660 0.846 1
Au2 Au 0.248 0.247 0.841 1
Au3 Au 0.339 0.753 0.156 1
# - crystal system = triclinic
# - total DFT energy (no corrections) (eV per atom) = -3.1595
# - total magnetic moment (Bohr magnetons per cell) = 0.000



Record 11
# LaYSe3 PBE relaxed
data_LaYSe3
_cell_length_a 5.366
_cell_length_b 5.366
_cell_length_c 5.366
_cell_angle_alpha 90.00
_cell_angle_beta 90.00
_cell_angle_gamma 90.00
_space_group_name_H-M_alt 'P m -3 m'
_space_group_IT_number 221
_space_group_name_Hall '-P 4 2 3'
loop_
_atom_site_label
_atom_site_type_symbol
_atom_site_fract_x
_atom_site_fract_y
_atom_site_fract_z
_atom_site_occupancy
La1 La 0.000 0.000 0.000 1
Y1 Y 0.500 0.500 0.500 1
Se1 Se 0.000 0.500 0.500 1
# - crystal system = cubic
# - E above lowest polymorph (eV/f.u.) = 2.772
# - raw formation energy (kJ per mole of atoms) = -136.8
# - total magnetic moment (Bohr magnetons per cell) = 0.000



Record 12
# BaAsN PBE relaxed
data_BaAsN
_cell_length_a 4.327
_cell_length_b 4.899
_cell_length_c 7.632
_cell_angle_alpha 90.00
_cell_angle_beta 92.68
_cell_angle_gamma 90.00
_space_group_name_H-M_alt 'P 1 m 1'
_space_group_IT_number 6
loop_
_space_group_symop_operation_xyz
'x,y,z'
'x,-y,z'
loop_
_atom_site_label
_atom_site_type_symbol
_atom_site_fract_x
_atom_site_fract_y
_atom_site_fract_z
_atom_site_occupancy
Ba1 Ba 0.000 0.000 0.000 1
Ba2 Ba 0.023 0.500 0.508 1
As1 As 0.498 0.500 0.869 1
As2 As 0.536 0.500 0.184 1
N1 N 0.548 0.000 0.527 1
N2 N 0.739 0.000 0.641 1
# - crystal system = monoclinic
# - E above lowest polymorph (eV/f.u.) = 0.310
# - raw formation energy (kJ per mole of atoms) = -54.8
# - total magnetic moment (Bohr magnetons per cell) = 0.000



Repeat the first record exactly.
# Ac6In3Pt PBE relaxed
data_Ac6In3Pt
_cell_length_a 7.142
_cell_length_b 9.509
_cell_length_c 13.041
_cell_angle_alpha 90.00
_cell_angle_beta 119.24
_cell_angle_gamma 90.00
_space_group_name_H-M_alt 'P 1 21/c 1'
_space_group_IT_number 14
loop_
_space_group_symop_operation_xyz
'x,y,z'
'-x,-y,-z'
'-x,y+1/2,-z+1/2'
'x,-y+1/2,z+1/2'
loop_
_atom_site_label
_atom_site_type_symbol
_atom_site_fract_x
_atom_site_fract_y
_atom_site_fract_z
_atom_site_occupancy
Ac1 Ac 0.085 0.160 0.442 1
Ac2 Ac 0.318 0.694 0.433 1
Ac3 Ac 0.413 0.059 0.262 1
In1 In 0.000 0.000 0.000 1
In2 In 0.176 0.112 0.763 1
Pt1 Pt 0.500 0.000 0.500 1
# - crystal system = monoclinic
# - total DFT energy (no corrections) (eV per atom) = -4.2974
# - total magnetic moment (Bohr magnetons per cell) = 0.000